# 1
GeAsIrO | PBE-GGA | relaxed

Cell lengths 4.0133, 4.8462, 6.6008 Å; angles 90.00, 90.00, 90.00 degrees
Last column: nearest neighbours and their distance in Å.
Atoms (fractional coordinates):
As: 0.0000 0.8083 0.3618  3 Ir 2.41-2.65
As: 0.0000 0.1917 0.8618  3 Ir 2.41-2.65
Ge: 0.5000 0.4310 0.0764  1 O 1.81
Ge: 0.5000 0.5690 0.5764  1 O 1.81
Ir: 0.0000 0.7023 0.0055  2 O 2.40, 3 As 2.41-2.65, 2 Ge 2.44
Ir: 0.0000 0.2977 0.5055  2 O 2.40, 3 As 2.41-2.65, 2 Ge 2.44
O: 0.5000 0.2342 0.3103  1 Ge 1.81
O: 0.5000 0.7658 0.8103  1 Ge 1.81

Output
ΔE to the lowest computed polymorph ... 0.389 eV/atom



# 2
GeAsIrO | PBE-GGA | relaxed

Cell lengths 4.1168, 4.1168, 7.6556 Å; angles 90.00, 90.00, 90.00 degrees
Last column: nearest neighbours and their distance in Å.
Atoms (fractional coordinates):
As: 0.0000 0.5000 0.2728  1 Ir 2.61, 4 Ge 2.69
As: 0.5000 0.0000 0.7272  1 Ir 2.61, 4 Ge 2.69
Ge: 0.0000 0.0000 0.5000  4 As 2.69, 4 Ge 2.91
Ge: 0.5000 0.5000 0.5000  4 As 2.69, 4 Ge 2.91
Ir: 0.5000 0.0000 0.0685  4 O 2.12
Ir: 0.0000 0.5000 0.9315  4 O 2.12
O: 0.0000 0.0000 0.0000  4 Ir 2.12
O: 0.5000 0.5000 0.0000  4 Ir 2.12

Output
ΔE to the lowest computed polymorph ... 0.991 eV/atom



# 3
GeAsIrO | PBE-GGA | relaxed

Cell lengths 3.9100, 6.2845, 5.4337 Å; angles 90.00, 90.00, 90.00 degrees
Last column: nearest neighbours and their distance in Å.
Atoms (fractional coordinates):
As: 0.0000 0.6665 0.3749  4 Ir 2.60, 1 Ge 2.76
As: 0.0000 0.3335 0.8749  4 Ir 2.60, 1 Ge 2.76
Ge: 0.0000 0.1049 0.3820  2 O 2.15
Ge: 0.0000 0.8951 0.8820  2 O 2.15
Ir: 0.5000 0.5002 0.1238  2 O 2.09
Ir: 0.5000 0.4998 0.6238  2 O 2.09
O: 0.5000 0.2464 0.3733  2 Ir 2.09, 2 Ge 2.15
O: 0.5000 0.7536 0.8733  2 Ir 2.09, 2 Ge 2.15

Output
ΔE to the lowest computed polymorph ... 0.392 eV/atom



# 4
RbGeAsIr2 | PBE-GGA | relaxed

Cell lengths 7.5994, 7.5994, 7.5994 Å; angles 148.80, 148.80, 44.71 degrees
Last column: nearest neighbours and their distance in Å.
Atoms (fractional coordinates):
As: 0.6525 0.6525 0.0000  4 Ir 2.45
Ge: 0.3491 0.3491 0.0000  4 Ir 2.49
Ir: 0.7484 0.2484 0.5000  2 As 2.45, 2 Ge 2.49
Ir: 0.2484 0.7484 0.5000  2 As 2.45, 2 Ge 2.49
Rb: 0.0016 0.0016 0.0000  4 As 3.59, 4 Ge 3.60

Output
Energy ... -0.2204 Ha/atom



Copy entry 3 word for word.
GeAsIrO | PBE-GGA | relaxed

Cell lengths 3.9100, 6.2845, 5.4337 Å; angles 90.00, 90.00, 90.00 degrees
Last column: nearest neighbours and their distance in Å.
Atoms (fractional coordinates):
As: 0.0000 0.6665 0.3749  4 Ir 2.60, 1 Ge 2.76
As: 0.0000 0.3335 0.8749  4 Ir 2.60, 1 Ge 2.76
Ge: 0.0000 0.1049 0.3820  2 O 2.15
Ge: 0.0000 0.8951 0.8820  2 O 2.15
Ir: 0.5000 0.5002 0.1238  2 O 2.09
Ir: 0.5000 0.4998 0.6238  2 O 2.09
O: 0.5000 0.2464 0.3733  2 Ir 2.09, 2 Ge 2.15
O: 0.5000 0.7536 0.8733  2 Ir 2.09, 2 Ge 2.15

Output
ΔE to the lowest computed polymorph ... 0.392 eV/atom